Below is a PBEsol-optimized structure of YAgAu4, with properties calculated at the meta-GGA SCAN level.

Results
The calculation puts the total magnetization at 0.00 μB per atom. The calculation puts the density at 14.44 g cm⁻³.

a b c (Å): 5.4297 5.4297 5.4297
angles (deg): 60.00 60.00 60.00
Last column: nearest neighbours and their distance in Å.
Fractional positions:
Y  0.7500  0.7500  0.7500  12 Au 3.18, 4 Ag 3.33
Au  0.3746  0.3746  0.8761  6 Au 2.71-2.72
Au  0.8761  0.3746  0.3746  6 Au 2.71-2.72
Au  0.3746  0.8761  0.3746  6 Au 2.71-2.72
Au  0.3746  0.3746  0.3746  6 Au 2.71-2.72
Ag  0.0000  0.0000  0.0000  12 Au 3.18, 4 Y 3.33

---

Below is a PBEsol-optimized structure of CoPdO2, with properties calculated at the meta-GGA SCAN level.

Results
Its uncorrected formation energy is -1.18 eV per atom. The calculation puts the total magnetization at 0.00 μB per atom. The calculation puts the density at 8.14 g cm⁻³.

a b c (Å): 2.8134 2.8134 6.0907
angles (deg): 76.65 76.65 60.00
Last column: nearest neighbours and their distance in Å.
Fractional positions:
O  0.8875  0.8875  0.3374  3 Co 1.88, 1 Pd 1.98
O  0.1125  0.1125  0.6626  3 Co 1.88, 1 Pd 1.98
Pd  0.0000  0.0000  0.0000  2 O 1.98
Co  0.5000  0.5000  0.5000  6 O 1.88

---

Below is a PBEsol-optimized structure of MnMoSeN2, with properties calculated at the meta-GGA SCAN level.

Results
Its uncorrected formation energy is 0.13 eV per atom. The calculation puts the total magnetization at 0.96 μB per atom. The calculation puts the density at 5.56 g cm⁻³.

a b c (Å): 3.8375 3.8375 5.2285
angles (deg): 90.00 90.00 90.00
Last column: nearest neighbours and their distance in Å.
Fractional positions:
Se  0.0000  0.0000  0.5000  2 Mo 2.61, 4 Mn 2.71
N  0.5000  0.0000  0.0000  2 Mo 1.92
N  0.0000  0.5000  0.0000  2 Mo 1.92
Mn  0.5000  0.5000  0.5000  4 Se 2.71
Mo  0.0000  0.0000  0.0000  4 N 1.92

---

Below is a PBEsol-optimized structure of Ta2InSi, with properties calculated at the meta-GGA SCAN level.

Results
Its uncorrected formation energy is 0.04 eV per atom. The calculation puts the total magnetization at 0.00 μB per atom. The calculation puts the density at 12.09 g cm⁻³.

a b c (Å): 3.0776 3.0776 7.3189
angles (deg): 90.00 90.00 90.00
Last column: nearest neighbours and their distance in Å.
Fractional positions:
Ta  0.0000  0.0000  0.2972  4 Si 2.63
Ta  0.0000  0.0000  0.7028  4 Si 2.63
In  0.5000  0.5000  0.0000  8 Ta 3.08, 4 In 3.08
Si  0.5000  0.5000  0.5000  8 Ta 2.63

---

Below is a PBEsol-optimized structure of BaScGaCo2, with properties calculated at the meta-GGA SCAN level.

Results
The calculation puts the total magnetization at 0.65 μB per atom. The calculation puts the density at 5.49 g cm⁻³.

a b c (Å): 4.5307 4.5307 5.4514
angles (deg): 90.00 90.00 90.00
Last column: nearest neighbours and their distance in Å.
Fractional positions:
Ga  0.0000  0.0000  0.0000  4 Co 2.27
Ba  0.0000  0.0000  0.5000  2 Ga 2.73
Sc  0.5000  0.5000  0.5000  4 Ba 3.20, 8 Co 3.54
Co  0.5000  0.0000  0.0000  2 Ga 2.27
Co  0.0000  0.5000  0.0000  2 Ga 2.27

---

Below is a PBEsol-optimized structure of Te2Cl, with properties calculated at the meta-GGA SCAN level.

Results
Its uncorrected formation energy is -0.20 eV per atom. The calculation puts the total magnetization at 0.00 μB per atom. The calculation puts the density at 5.42 g cm⁻³.

a b c (Å): 4.9083 6.8746 5.9541
angles (deg): 107.22 90.00 110.92
Last column: nearest neighbours and their distance in Å.
Fractional positions:
Te  0.2743  0.5485  0.7764  1 Cl 2.67, 3 Te 2.89-2.93
Te  0.1215  0.2429  0.2921  3 Te 2.89-2.93
Te  0.7257  0.4515  0.2236  1 Cl 2.67, 3 Te 2.89-2.93
Te  0.8785  0.7571  0.7079  3 Te 2.89-2.93
Cl  0.4220  0.8441  0.2090  1 Te 2.67
Cl  0.5780  0.1559  0.7910  1 Te 2.67

---

Below is a PBEsol-optimized structure of Mg2AlCr, with properties calculated at the meta-GGA SCAN level.

Results
The calculation puts the total magnetization at 0.89 μB per atom. The calculation puts the density at 3.13 g cm⁻³.

a b c (Å): 3.2361 4.4372 5.4526
angles (deg): 114.01 107.26 90.00
Last column: nearest neighbours and their distance in Å.
Fractional positions:
Cr  0.5000  0.0000  0.0000  4 Al 2.75, 4 Mg 2.77
Al  0.0000  0.5000  0.0000  4 Cr 2.75, 4 Mg 2.94
Mg  0.2390  0.2390  0.4780  4 Mg 2.75, 2 Cr 2.77, 2 Al 2.94
Mg  0.7610  0.7610  0.5220  4 Mg 2.75, 2 Cr 2.77, 2 Al 2.94

---

Below is a PBEsol-optimized structure of La2HgRu, with properties calculated at the meta-GGA SCAN level.

Results
The calculation puts the total magnetization at 0.00 μB per atom. The calculation puts the density at 9.36 g cm⁻³.

a b c (Å): 4.0888 4.5119 6.0116
angles (deg): 112.04 90.00 90.00
Last column: nearest neighbours and their distance in Å.
Fractional positions:
Ru  0.0000  0.7411  0.4822  1 La 2.37
Hg  0.5000  0.5512  0.1024  2 Ru 2.94, 7 La 3.21-3.29
La  0.5000  0.2557  0.5114  4 Ru 3.05, 3 Hg 3.21-3.29
La  0.0000  0.9534  0.9068  1 Ru 2.37

---

no.,energy (eV/atom)
1,-56.510
2,-16.818
3,-18.233
4,-44.102
5,-20.071
6,-27.697
7,-8.915
8,-47.780